A plane-wave DFT calculation with PBE was carried out for a relaxed Na2LaInHg crystal.

The density of states at the Fermi level is 6.30 states/eV/f.u. The energy of formation is 0.726 eV/atom. The value obtained for the spin magnetization is 0.0 μB/f.u. Its volume is 247 Å³/f.u.

Cell lengths 6.5350, 6.5350, 5.7812 Å; angles 90.00, 90.00, 90.00 degrees
Last column: nearest neighbours and their distance in Å.
Fractional coordinates of all 5 atoms:
Na 0.0000 0.5000 0.0000  2 La 3.27
Na 0.5000 0.0000 0.0000  2 La 3.27
La 0.0000 0.0000 0.0000  2 Hg 2.89
In 0.5000 0.5000 0.5000  8 Na 4.36, 4 Hg 4.62
Hg 0.0000 0.0000 0.5000  2 La 2.89



A plane-wave DFT calculation with PBE was carried out for a relaxed LiZrP crystal.

The density of states at the Fermi level is 1.16 states/eV/f.u. The energy of formation is -0.420 eV/atom. The value obtained for the spin magnetization is 0.0 μB/f.u. Its volume is 48 Å³/f.u.

Cell lengths 5.2151, 5.2151, 5.2151 Å; angles 147.95, 140.11, 52.06 degrees
Last column: nearest neighbours and their distance in Å.
Fractional coordinates of all 3 atoms:
Li 0.0000 0.0000 0.0000  4 P 2.53, 1 Zr 2.75
Zr 0.2939 0.2939 0.0000  5 Li 2.75-2.99, 5 P 2.84-3.01, 2 Zr 2.88
P 0.6147 0.6147 0.0000  4 Li 2.53



A plane-wave DFT calculation with PBE was carried out for a relaxed Th3Zn crystal.

The density of states at the Fermi level is 5.44 states/eV/f.u. The energy of formation is 0.163 eV/atom. The value obtained for the spin magnetization is 0.0 μB/f.u. Its volume is 115 Å³/f.u.

Cell lengths 5.4614, 5.4614, 5.4614 Å; angles 60.00, 60.00, 60.00 degrees
Last column: nearest neighbours and their distance in Å.
Fractional coordinates of all 4 atoms:
Th 0.0000 0.0000 0.0000  8 Th 3.34
Th 0.2500 0.2500 0.2500  4 Zn 3.34, 4 Th 3.34
Th 0.7500 0.7500 0.7500  4 Zn 3.34, 4 Th 3.34
Zn 0.5000 0.5000 0.5000  8 Th 3.34